Entry 1:
A plane-wave DFT calculation with PBE-GGA was carried out for crystalline TlPdPt at its relaxed geometry.

Properties
crystal system = cubic
ΔH_f (0 K) = 0.0430 eV per atom
E above lowest polymorph = 0.096 eV per atom

a b c (Å): 4.4806 4.4806 4.4806
angles (deg): 60.00 60.00 60.00
Fractional positions:
Tl1 0.5000 0.5000 0.5000
Pd1 0.0000 0.0000 0.0000
Pt1 0.2500 0.2500 0.2500

Entry 2:
A plane-wave DFT calculation with PBE-GGA was carried out for crystalline LaTmBiO2 at its relaxed geometry.

Properties
crystal system = orthorhombic
formation energy without anion corrections = -2.70 eV per atom

a b c (Å): 5.5949 5.6203 7.4777
angles (deg): 112.07 90.00 90.00
Fractional positions:
La1 0.2500 0.5904 0.1808
La2 0.7500 0.4096 0.8192
Tm1 0.2500 0.9256 0.8512
Tm2 0.7500 0.0744 0.1488
Bi1 0.7500 0.7497 0.4995
Bi2 0.2500 0.2503 0.5005
O1 0.5000 0.2405 0.0000
O2 0.0000 0.7595 0.0000
O3 0.5000 0.7595 0.0000
O4 0.0000 0.2405 0.0000

Entry 3:
A plane-wave DFT calculation with PBE-GGA was carried out for crystalline ThScCoTc at its relaxed geometry.

Properties
crystal system = cubic
ΔH_f (0 K) = -0.2031 eV per atom

a b c (Å): 4.7412 4.7412 4.7412
angles (deg): 60.00 60.00 60.00
Fractional positions:
Sc1 0.0000 0.0000 0.0000
Co1 0.2500 0.2500 0.2500
Tc1 0.7500 0.7500 0.7500
Th1 0.5000 0.5000 0.5000

Entry 4:
A plane-wave DFT calculation with PBE-GGA was carried out for crystalline Ac2MgZnTe5 at its relaxed geometry.

Properties
crystal system = orthorhombic
formation energy without anion corrections = -1.17 eV per atom

a b c (Å): 4.4862 10.0279 13.2468
angles (deg): 90.00 90.00 102.93
Fractional positions:
Ac1 0.8682 0.7364 0.8039
Ac2 0.1134 0.2268 0.6887
Ac3 0.1318 0.2636 0.3039
Ac4 0.8866 0.7732 0.1887
Mg1 0.7974 0.5947 0.5145
Mg2 0.2026 0.4053 0.0145
Zn1 0.5633 0.1266 0.9558
Zn2 0.4367 0.8734 0.4558
Te1 0.3522 0.7045 0.0000
Te2 0.6893 0.3786 0.8568
Te3 0.4977 0.9954 0.7808
Te4 0.2859 0.5718 0.6617
Te5 0.9515 0.9030 0.5618
Te6 0.6478 0.2955 0.5000
Te7 0.3107 0.6214 0.3568
Te8 0.5023 0.0046 0.2808
Te9 0.7141 0.4282 0.1617
Te10 0.0485 0.0970 0.0618

Entry 5:
A plane-wave DFT calculation with PBE-GGA was carried out for crystalline Ac5SmAu6 at its relaxed geometry.

Properties
crystal system = orthorhombic
ΔH_f (0 K) = -0.7667 eV per atom

a b c (Å): 5.4919 7.6933 9.5117
angles (deg): 66.15 73.18 90.00
Fractional positions:
Ac1 0.6672 0.1670 0.6658
Ac2 0.3345 0.3340 0.3322
Ac3 0.0000 0.5000 0.0000
Ac4 0.6655 0.6660 0.6678
Ac5 0.3328 0.8330 0.3342
Au1 0.8400 0.5997 0.3202
Au2 0.8400 0.0802 0.3202
Au3 0.5000 0.7675 0.0000
Au4 0.5000 0.2325 0.0000
Au5 0.1600 0.9198 0.6798
Au6 0.1600 0.4003 0.6798
Sm1 0.0000 0.0000 0.0000

Entry 6:
A plane-wave DFT calculation with PBE-GGA was carried out for crystalline YTl3Rh at its relaxed geometry.

Properties
crystal system = cubic
ΔH_f (0 K) = 1.2041 eV per atom
E above lowest polymorph = 1.076 eV per atom

a b c (Å): 5.7604 5.7604 5.7604
angles (deg): 90.00 90.00 90.00
Fractional positions:
Y1 0.0000 0.0000 0.0000
Tl1 0.0000 0.5000 0.0000
Tl2 0.0000 0.0000 0.5000
Tl3 0.5000 0.0000 0.0000
Rh1 0.5000 0.5000 0.5000

Entry 7:
A plane-wave DFT calculation with PBE-GGA was carried out for crystalline Ba2FeRh at its relaxed geometry.

Properties
crystal system = orthorhombic
ΔH_f (0 K) = 0.1414 eV per atom
E above lowest polymorph = 0.000 eV per atom

a b c (Å): 4.2661 4.8271 6.6040
angles (deg): 68.57 90.00 90.00
Fractional positions:
Ba1 0.0000 0.9875 0.8996
Ba2 0.5000 0.2655 0.3442
Fe1 0.0000 0.6713 0.5326
Rh1 0.5000 0.5757 0.7236

Entry 8:
A plane-wave DFT calculation with PBE-GGA was carried out for crystalline In2FePd2 at its relaxed geometry.

Properties
crystal system = tetragonal
ΔH_f (0 K) = -0.0468 eV per atom
E above lowest polymorph = 0.064 eV per atom

a b c (Å): 7.5894 7.5894 3.1611
angles (deg): 90.00 90.00 90.00
Fractional positions:
Fe1 0.0000 0.0000 0.0000
Fe2 0.5000 0.5000 0.0000
Pd1 0.1465 0.6465 0.5000
Pd2 0.6465 0.8535 0.5000
Pd3 0.8535 0.3535 0.5000
Pd4 0.3535 0.1465 0.5000
In1 0.3473 0.8473 0.0000
In2 0.8473 0.6527 0.0000
In3 0.6527 0.1527 0.0000
In4 0.1527 0.3473 0.0000

Entry 9:
A plane-wave DFT calculation with PBE-GGA was carried out for crystalline BeZn4Rh at its relaxed geometry.

Properties
crystal system = cubic
ΔH_f (0 K) = 0.0520 eV per atom

a b c (Å): 4.8699 4.8699 4.8699
angles (deg): 60.00 60.00 60.00
Fractional positions:
Be1 0.2500 0.2500 0.2500
Zn1 0.6251 0.6251 0.1248
Zn2 0.6251 0.1248 0.6251
Zn3 0.6251 0.6251 0.6251
Zn4 0.1248 0.6251 0.6251
Rh1 0.0000 0.0000 0.0000

Entry 10:
A plane-wave DFT calculation with PBE-GGA was carried out for crystalline K2RhBr at its relaxed geometry.

Properties
crystal system = cubic
formation energy without anion corrections = 0.16 eV per atom
E above lowest polymorph = 0.326 eV per atom

a b c (Å): 5.3307 5.3307 5.3307
angles (deg): 60.00 60.00 60.00
Fractional positions:
Br1 0.5000 0.5000 0.5000
K1 0.0000 0.0000 0.0000
K2 0.2500 0.2500 0.2500
Rh1 0.7500 0.7500 0.7500

Entry 11:
A plane-wave DFT calculation with PBE-GGA was carried out for crystalline PmPr3Sm2S6 at its relaxed geometry.

Properties
crystal system = monoclinic
formation energy without anion corrections = -2.03 eV per atom

a b c (Å): 7.0325 7.0325 7.0459
angles (deg): 99.55 99.55 120.15
Fractional positions:
Pm1 0.0000 0.0000 0.0000
Pr1 0.1661 0.8339 0.5000
Pr2 0.8339 0.1661 0.5000
Pr3 0.5000 0.5000 0.5000
Sm1 0.3334 0.6666 0.0000
Sm2 0.6666 0.3334 0.0000
S1 0.9193 0.5847 0.7579
S2 0.7458 0.7458 0.2416
S3 0.0807 0.4153 0.2421
S4 0.5847 0.9193 0.7579
S5 0.2542 0.2542 0.7584
S6 0.4153 0.0807 0.2421

Entry 12:
A plane-wave DFT calculation with PBE-GGA was carried out for crystalline Tb4YBi5 at its relaxed geometry.

Properties
crystal system = tetragonal
ΔH_f (0 K) = -0.8847 eV per atom

a b c (Å): 4.4917 4.4917 16.1907
angles (deg): 97.97 97.97 90.00
Fractional positions:
Tb1 0.4001 0.4001 0.8001
Tb2 0.8000 0.8000 0.6001
Tb3 0.2000 0.2000 0.3999
Tb4 0.5999 0.5999 0.1999
Y1 0.0000 0.0000 0.0000
Bi1 0.0999 0.0999 0.1998
Bi2 0.5000 0.5000 0.0000
Bi3 0.9001 0.9001 0.8002
Bi4 0.3000 0.3000 0.6000
Bi5 0.7000 0.7000 0.4000

no.,total DFT energy (no corrections) (eV per formula unit)
1,-13.5
2,-36.7
3,-32.0
4,-37.4
5,-54.1
6,-14.9
7,-19.1
8,-24.6
9,-15.9
10,-10.6
11,-77.6
12,-53.2